Density functional theory data (PBE) for Ba2TcPt after structural relaxation.

Structure (CIF):
```
data_Ba2TcPt
_chemical_formula_sum 'Ba8 Tc4 Pt4'
_cell_length_a 7.5647
_cell_length_b 7.5647
_cell_length_c 7.5647
_cell_angle_alpha 90.00
_cell_angle_beta 90.00
_cell_angle_gamma 90.00
_space_group_name_H-M_alt 'P 1'
_space_group_IT_number 1
_space_group_name_Hall 'P 1'
loop_
_atom_site_label
_atom_site_fract_x
_atom_site_fract_y
_atom_site_fract_z
Ba1 0.0000 0.0000 0.0000
Ba2 0.0000 0.5000 0.5000
Ba3 0.2500 0.2500 0.2500
Ba4 0.2500 0.7500 0.7500
Ba5 0.5000 0.0000 0.5000
Ba6 0.5000 0.5000 0.0000
Ba7 0.7500 0.2500 0.7500
Ba8 0.7500 0.7500 0.2500
Tc1 0.2500 0.2500 0.7500
Tc2 0.2500 0.7500 0.2500
Tc3 0.7500 0.2500 0.2500
Tc4 0.7500 0.7500 0.7500
Pt1 0.0000 0.0000 0.5000
Pt2 0.0000 0.5000 0.0000
Pt3 0.5000 0.0000 0.0000
Pt4 0.5000 0.5000 0.5000
```

Results
ΔE to the lowest computed polymorph (eV per atom): 0.6209

Density functional theory data (PBE) for SrMg2Ir after structural relaxation.

Structure (CIF):
```
data_SrMg2Ir
_chemical_formula_sum 'Sr2 Mg4 Ir2'
_cell_length_a 8.0149
_cell_length_b 4.6184
_cell_length_c 6.1760
_cell_angle_alpha 90.00
_cell_angle_beta 115.91
_cell_angle_gamma 90.00
_space_group_name_H-M_alt 'P 1'
_space_group_IT_number 1
_space_group_name_Hall 'P 1'
loop_
_atom_site_label
_atom_site_fract_x
_atom_site_fract_y
_atom_site_fract_z
Sr1 0.0000 0.0000 0.0000
Sr2 0.5000 0.5000 0.0000
Mg1 0.1961 0.0000 0.5888
Mg2 0.4704 0.0000 0.4132
Mg3 0.6961 0.5000 0.5888
Mg4 0.9704 0.5000 0.4132
Ir1 0.3090 0.5000 0.4298
Ir2 0.8090 0.0000 0.4298
```

Density functional theory data (PBE) for CuPtAu4 after structural relaxation.

Structure (CIF):
```
data_CuPtAu4
_chemical_formula_sum 'Cu2 Pt2 Au8'
_cell_length_a 6.2042
_cell_length_b 6.1490
_cell_length_c 6.1492
_cell_angle_alpha 90.00
_cell_angle_beta 90.00
_cell_angle_gamma 90.00
_space_group_name_H-M_alt 'P 1'
_space_group_IT_number 1
_space_group_name_Hall 'P 1'
loop_
_atom_site_label
_atom_site_fract_x
_atom_site_fract_y
_atom_site_fract_z
Cu1 0.0000 0.0000 0.0000
Cu2 0.0000 0.5000 0.5000
Pt1 0.5000 0.0000 0.5009
Pt2 0.5000 0.5000 0.0009
Au1 0.2367 0.2495 0.2507
Au2 0.2367 0.2505 0.7507
Au3 0.2367 0.7505 0.2507
Au4 0.2367 0.7495 0.7507
Au5 0.7633 0.2495 0.2507
Au6 0.7633 0.2505 0.7507
Au7 0.7633 0.7505 0.2507
Au8 0.7633 0.7495 0.7507
```

Results
ΔE to the lowest computed polymorph (eV per atom): 0.0860

In the order shown, the computed DOS at the Fermi energy values come out to 15.35, 3.76, 6.03 states/eV per cell.
In the order shown, the computed total magnetization values come out to 2.88, 0.00, 0.00 μB per formula unit.
In the order shown, the computed calculated formation energy values come out to 0.580, -0.220, 0.201 eV per atom.